An optimized crystal structure of Sm2BeHPt6. Source: Alexandria via LeMat-Bulk, functional PBE.

Computed properties:
- total DFT energy (no corrections) (eV per cell) = -60.9
- V (Å³/atom) = 16.40
- theoretical density (g/cm³) = 15.00
- space group = P-1

Cell lengths 5.715, 5.724, 6.651 Å; angles 64.56, 64.87, 60.08 degrees
Fractional positions:
Sm1 0.222 0.223 0.335
Sm2 0.778 0.777 0.665
Be1 0.500 0.500 0.500
H1 0.000 0.000 0.000
Pt1 0.238 0.237 0.797
Pt2 0.238 0.726 0.798
Pt3 0.271 0.764 0.204
Pt4 0.729 0.236 0.796
Pt5 0.762 0.274 0.202
Pt6 0.762 0.763 0.203